# 1
Density functional theory data (PBE) for a relaxed Ba2NiTeSe crystal.

Summary:
**Formation energy without anion corrections**: -1.0836 eV per atom
**Total DFT energy (no corrections)**: -4.3342 eV per atom

Lattice parameters (Å, degrees): 6.2957 6.2957 4.4057 90.00 90.00 90.00
Closest atoms and distances in Å follow each position.
Space group P4/mmm (No. 123)
Symmetry-distinct sites (fractional):
1 Ba 0.0000 0.5000 0.0000 [2 per cell]  2 Se 3.15
2 Ni 0.0000 0.0000 0.5000 [1 per cell]  2 Se 2.20
3 Te 0.5000 0.5000 0.5000 [1 per cell]  8 Ba 3.84
4 Se 0.0000 0.0000 0.0000 [1 per cell]  2 Ni 2.20


# 2
Density functional theory data (PBE) for a relaxed LiSmLu crystal.

Summary:
**Distance to the lowest polymorph of the same formula**: 0 meV per atom
**Energy of formation from the pure elements**: 91 meV/atom
**Total DFT energy (no corrections)**: -3.6271 eV per atom

Lattice parameters (Å, degrees): 3.6406 3.6406 12.4369 90.00 90.00 90.00
Closest atoms and distances in Å follow each position.
Space group I4mm (No. 107)
Symmetry-distinct sites (fractional):
1 Li 0.0000 0.0000 0.0000 [2 per cell]  4 Lu 3.16, 4 Sm 3.26
2 Sm 0.0000 0.0000 0.6611 [2 per cell]  4 Li 3.26, 4 Lu 3.51, 4 Sm 3.64
3 Lu 0.0000 0.0000 0.3533 [2 per cell]  4 Li 3.16, 4 Sm 3.51


# 3
Density functional theory data (PBE) for a relaxed Dy2PuSc crystal.

Summary:
**Distance to the lowest polymorph of the same formula**: 154 meV per atom
**Energy of formation from the pure elements**: 262 meV/atom
**Total DFT energy (no corrections)**: -7.2049 eV per atom

Lattice parameters (Å, degrees): 3.3721 3.3721 35.7022 90.00 90.00 120.00
Closest atoms and distances in Å follow each position.
Space group R-3m (No. 166, hexagonal axes)
Symmetry-distinct sites (fractional):
1 Dy 0.0000 0.0000 0.0912 [6 per cell]  1 Pu 3.26, 3 Sc 3.32, 6 Dy 3.37
2 Pu 0.0000 0.0000 0.0000 [3 per cell]  2 Dy 3.26, 6 Pu 3.37
3 Sc 0.0000 0.0000 0.5000 [3 per cell]  6 Dy 3.32, 6 Sc 3.37


# 4
Density functional theory data (PBE) for a relaxed Sc2MnHg crystal.

Summary:
**Energy of formation from the pure elements**: 4 meV/atom
**Total DFT energy (no corrections)**: -5.5299 eV per atom

Lattice parameters (Å, degrees): 3.5307 3.5307 6.6264 90.00 90.00 90.00
Closest atoms and distances in Å follow each position.
Space group P4mm (No. 99)
Symmetry-distinct sites (fractional):
1 Sc 0.0000 0.0000 0.0000 [1 per cell]  4 Mn 2.90, 1 Hg 3.04, 4 Sc 3.17
2 Sc 0.5000 0.5000 0.2941 [1 per cell]  4 Hg 2.99, 4 Sc 3.17, 1 Mn 3.20
3 Mn 0.5000 0.5000 0.7763 [1 per cell]  5 Sc 2.90-3.20, 4 Hg 2.94
4 Hg 0.0000 0.0000 0.5415 [1 per cell]  4 Mn 2.94, 5 Sc 2.99-3.04


# 5
Density functional theory data (PBE) for a relaxed TiNb2SnH crystal.

Summary:
**Total DFT energy (no corrections)**: -7.3593 eV per atom

Lattice parameters (Å, degrees): 4.1391 4.1391 4.4085 90.00 90.00 90.00
Closest atoms and distances in Å follow each position.
Space group P4/mmm (No. 123)
Symmetry-distinct sites (fractional):
1 Ti 0.0000 0.0000 0.0000 [1 per cell]  2 H 2.20
2 Nb 0.0000 0.5000 0.5000 [2 per cell]  2 H 2.07
3 Sn 0.5000 0.5000 0.0000 [1 per cell]  4 Ti 2.93, 8 Nb 3.02
4 H 0.0000 0.0000 0.5000 [1 per cell]  4 Nb 2.07, 2 Ti 2.20


# 6
Density functional theory data (PBE) for a relaxed Ce5Pm3Te8 crystal.

Summary:
**Formation energy without anion corrections**: -1.3886 eV per atom
**Total DFT energy (no corrections)**: -5.7045 eV per atom

Lattice parameters (Å, degrees): 8.9410 8.9410 22.0523 90.00 90.00 120.00
Closest atoms and distances in Å follow each position.
Space group R-3m (No. 166, hexagonal axes)
Symmetry-distinct sites (fractional):
1 Ce 0.0000 0.0000 0.0000 [3 per cell]  6 Te 3.17
2 Ce 0.0000 0.0000 0.5000 [3 per cell]  6 Te 3.17
3 Ce 0.0000 0.5000 0.0000 [9 per cell]  6 Te 3.18
4 Pm 0.0000 0.5000 0.5000 [9 per cell]  6 Te 3.16
5 Te 0.0000 0.0000 0.2494 [6 per cell]  3 Pm 3.16, 3 Ce 3.18
6 Te 0.0009 0.5004 0.7505 [18 per cell]  2 Pm 3.16, 4 Ce 3.17-3.18


# 7
Density functional theory data (PBE) for a relaxed Li3Tl4In crystal.

Summary:
**Energy of formation from the pure elements**: -150 meV/atom
**Total DFT energy (no corrections)**: -2.3928 eV per atom

Lattice parameters (Å, degrees): 10.1599 7.2915 5.0715 90.00 90.00 90.00
Closest atoms and distances in Å follow each position.
Space group Pmma (No. 51)
Symmetry-distinct sites (fractional):
1 Li 0.0000 0.0000 0.0000 [2 per cell]  8 Tl 3.07
2 Li 0.2500 0.0000 0.4970 [2 per cell]  8 Tl 3.07
3 Li 0.2500 0.5000 0.4971 [2 per cell]  8 Tl 3.18
4 Tl 0.0000 0.2368 0.5000 [4 per cell]  6 Li 3.07-3.18, 2 In 3.18
5 Tl 0.2500 0.2371 0.9974 [4 per cell]  6 Li 3.07-3.18, 2 In 3.18
6 In 0.0000 0.5000 0.0000 [2 per cell]  8 Tl 3.18


# 8
Density functional theory data (PBE) for a relaxed ThSc3Co crystal.

Summary:
**Energy of formation from the pure elements**: -46 meV/atom
**Total DFT energy (no corrections)**: -6.7504 eV per atom

Lattice parameters (Å, degrees): 8.5137 8.5176 6.5980 90.00 90.00 90.00
Closest atoms and distances in Å follow each position.
Space group Imma (No. 74)
Symmetry-distinct sites (fractional):
1 Th 0.0000 0.2500 0.2276 [4 per cell]  2 Co 2.61
2 Sc 0.0000 0.2500 0.7534 [4 per cell]  2 Co 2.68
3 Sc 0.2097 0.0000 0.5000 [8 per cell]  1 Co 2.47
4 Co 0.0000 0.0000 0.0000 [4 per cell]  4 Sc 2.47-2.68, 2 Th 2.61


# 9
Density functional theory data (PBE) for a relaxed Ta2ZnBr crystal.

Summary:
**Distance to the lowest polymorph of the same formula**: 0 meV per atom
**Formation energy without anion corrections**: 0.1655 eV per atom
**Total DFT energy (no corrections)**: -6.4975 eV per atom

Lattice parameters (Å, degrees): 3.6352 4.8257 9.4302 90.00 90.00 90.00
Closest atoms and distances in Å follow each position.
Space group Cmm2 (No. 35)
Symmetry-distinct sites (fractional):
1 Ta 0.0000 0.0000 0.0000 [2 per cell]  2 Zn 2.68, 2 Ta 2.80
2 Ta 0.0000 0.5000 0.2258 [2 per cell]  2 Br 2.73, 6 Ta 2.80-3.02
3 Zn 0.0000 0.5000 0.7908 [2 per cell]  2 Ta 2.68
4 Br 0.0000 0.0000 0.4418 [2 per cell]  2 Ta 2.73, 4 Br 3.02


# 10
Density functional theory data (PBE) for a relaxed BaTlSnHg crystal.

Summary:
**Distance to the lowest polymorph of the same formula**: 75 meV per atom
**Energy of formation from the pure elements**: -281 meV/atom
**Total DFT energy (no corrections)**: -2.4292 eV per atom

Lattice parameters (Å, degrees): 9.0406 5.1937 6.2671 90.00 90.27 90.00
Closest atoms and distances in Å follow each position.
Space group Cm (No. 8)
Symmetry-distinct sites (fractional):
1 Ba 0.0000 0.0000 0.0000 [2 per cell]  3 Hg 3.40-3.41, 3 Sn 3.47
2 Tl 0.3353 0.0000 0.4864 [2 per cell]  3 Sn 3.28-3.29, 3 Hg 3.40-3.42
3 Sn 0.1683 0.5000 0.2752 [2 per cell]  1 Hg 2.94, 2 Tl 3.28
4 Hg 0.1670 0.5000 0.7443 [2 per cell]  1 Sn 2.94